Record 1
{"formula": "PWN3", "functional": "SCAN", "state": "single point on PBEsol structure", "space_group": "No. 221", "m_tot_mub_per_fu": 0.000, "e_form_raw_ev_per_fu": 5.5, "cell": [[3.925, 0.000, 0.000], [0.000, 3.925, 0.000], [0.000, 0.000, 3.925]], "species": ["P", "W", "N", "N", "N"], "fractional_positions": [[0.000, 0.000, 0.000], [0.500, 0.500, 0.500], [0.000, 0.500, 0.500], [0.500, 0.000, 0.500], [0.500, 0.500, 0.000]]}

Record 2
{"formula": "YInTc2", "functional": "SCAN", "state": "single point on PBEsol structure", "space_group": "No. 123", "m_tot_mub_per_fu": 1.248, "e_tot_ev_per_cell": -130.5, "cell": [[4.197, 0.000, 0.000], [0.000, 4.197, 0.000], [0.000, 0.000, 4.055]], "species": ["Y", "In", "Tc", "Tc"], "fractional_positions": [[0.000, 0.000, 0.000], [0.500, 0.500, 0.000], [0.000, 0.500, 0.500], [0.500, 0.000, 0.500]]}

Record 3
{"formula": "MgInPb2", "functional": "SCAN", "state": "single point on PBEsol structure", "space_group": "No. 99", "m_tot_mub_per_fu": 0.000, "e_tot_ev_per_cell": -190.1, "cell": [[3.392, 0.000, 0.000], [0.000, 3.392, 0.000], [0.000, 0.000, 9.239]], "species": ["Mg", "In", "Pb", "Pb"], "fractional_positions": [[0.000, 0.000, 0.000], [0.500, 0.500, 0.780], [0.000, 0.000, 0.521], [0.500, 0.500, 0.239]]}

Record 4
{"formula": "LaSc2Bi2", "functional": "SCAN", "state": "single point on PBEsol structure", "space_group": "No. 139", "m_tot_mub_per_fu": 1.179, "e_tot_ev_per_cell": -232.4, "cell": [[-2.201, 2.201, 7.217], [2.201, -2.201, 7.217], [2.201, 2.201, -7.217]], "species": ["La", "Sc", "Sc", "Bi", "Bi"], "fractional_positions": [[0.000, 0.000, 0.000], [0.250, 0.750, 0.500], [0.750, 0.250, 0.500], [0.388, 0.388, 0.000], [0.612, 0.612, 0.000]]}

Record 5
{"formula": "SrPbSe2", "functional": "SCAN", "state": "single point on PBEsol structure", "space_group": "No. 166", "m_tot_mub_per_fu": 0.000, "e_form_raw_ev_per_fu": -5.7, "cell": [[2.175, 1.256, 7.134], [-2.175, 1.256, 7.134], [0.000, -2.512, 7.134]], "species": ["Sr", "Pb", "Se", "Se"], "fractional_positions": [[0.000, 0.000, 0.000], [0.500, 0.500, 0.500], [0.250, 0.250, 0.250], [0.750, 0.750, 0.750]]}

Record 6
{"formula": "CaHgIr2", "functional": "SCAN", "state": "single point on PBEsol structure", "space_group": "No. 216", "m_tot_mub_per_fu": 1.345, "e_tot_ev_per_cell": -218.9, "cell": [[0.000, 3.284, 3.284], [3.284, 0.000, 3.284], [3.284, 3.284, 0.000]], "species": ["Ca", "Hg", "Ir", "Ir"], "fractional_positions": [[0.000, 0.000, 0.000], [0.250, 0.250, 0.250], [0.500, 0.500, 0.500], [0.750, 0.750, 0.750]]}

Record 7
{"formula": "NaLa2YPb", "functional": "SCAN", "state": "single point on PBEsol structure", "space_group": "No. 123", "m_tot_mub_per_fu": 0.456, "e_tot_ev_per_cell": -192.3, "cell": [[5.824, 0.000, 0.000], [0.000, 5.824, 0.000], [0.000, 0.000, 5.824]], "species": ["Na", "La", "La", "Y", "Pb"], "fractional_positions": [[0.000, 0.000, 0.000], [0.000, 0.500, 0.500], [0.500, 0.000, 0.500], [0.500, 0.500, 0.500], [0.500, 0.500, 0.000]]}

Record 8
{"formula": "Li2SiSe", "functional": "SCAN", "state": "single point on PBEsol structure", "space_group": "No. 65", "m_tot_mub_per_fu": 0.000, "de_polymorph_mev_per_atom": 22, "e_form_raw_ev_per_fu": -1.4, "cell": [[2.845, -3.974, 0.000], [2.845, 3.974, 0.000], [0.000, 0.000, 2.785]], "species": ["Li", "Li", "Si", "Se"], "fractional_positions": [[0.000, 0.500, 0.000], [0.500, 0.000, 0.000], [0.000, 0.000, 0.500], [0.500, 0.500, 0.500]]}

Record 9
{"formula": "LaMoPb2", "functional": "SCAN", "state": "single point on PBEsol structure", "space_group": "No. 123", "m_tot_mub_per_fu": 0.000, "de_polymorph_mev_per_atom": 0, "cell": [[3.526, 0.000, 0.000], [0.000, 3.526, 0.000], [0.000, 0.000, 7.612]], "species": ["La", "Mo", "Pb", "Pb"], "fractional_positions": [[0.000, 0.000, 0.000], [0.000, 0.000, 0.500], [0.500, 0.500, 0.294], [0.500, 0.500, 0.706]]}

Record 10
{"formula": "LiCuF4", "functional": "SCAN", "state": "single point on PBEsol structure", "space_group": "No. 60", "m_tot_mub_per_fu": 2.000, "e_form_raw_ev_per_fu": -12.9, "cell": [[4.596, 0.000, 0.000], [0.000, 5.559, 0.000], [0.000, 0.000, 9.732]], "species": ["Li", "Li", "Li", "Li", "Cu", "Cu", "Cu", "Cu", "F", "F", "F", "F", "F", "F", "F", "F", "F", "F", "F", "F", "F", "F", "F", "F"], "fractional_positions": [[0.000, 0.000, 0.000], [0.000, 0.000, 0.500], [0.500, 0.500, 0.000], [0.500, 0.500, 0.500], [0.000, 0.297, 0.250], [0.000, 0.703, 0.750], [0.500, 0.203, 0.750], [0.500, 0.797, 0.250], [0.183, 0.287, 0.085], [0.183, 0.713, 0.585], [0.243, 0.041, 0.320], [0.243, 0.959, 0.820], [0.257, 0.459, 0.820], [0.257, 0.541, 0.320], [0.317, 0.213, 0.585], [0.317, 0.787, 0.085], [0.683, 0.213, 0.915], [0.683, 0.787, 0.415], [0.743, 0.459, 0.680], [0.743, 0.541, 0.180], [0.757, 0.041, 0.180], [0.757, 0.959, 0.680], [0.817, 0.287, 0.415], [0.817, 0.713, 0.915]]}

Record 11
{"formula": "K2TlW", "functional": "SCAN", "state": "single point on PBEsol structure", "space_group": "No. 65", "m_tot_mub_per_fu": 0.812, "de_polymorph_mev_per_atom": 83, "cell": [[2.940, -5.884, 0.000], [2.940, 5.884, 0.000], [0.000, 0.000, 2.927]], "species": ["K", "K", "Tl", "W"], "fractional_positions": [[0.000, 0.500, 0.000], [0.500, 0.000, 0.000], [0.000, 0.000, 0.500], [0.500, 0.500, 0.500]]}

Record 12
{"formula": "In2ReTc", "functional": "SCAN", "state": "single point on PBEsol structure", "space_group": "No. 47", "m_tot_mub_per_fu": 0.200, "de_polymorph_mev_per_atom": 488, "cell": [[3.110, 0.000, 0.000], [0.000, 4.554, 0.000], [0.000, 0.000, 4.821]], "species": ["In", "In", "Re", "Tc"], "fractional_positions": [[0.000, 0.000, 0.000], [0.500, 0.000, 0.500], [0.000, 0.500, 0.500], [0.500, 0.500, 0.000]]}